Entry 1:
A geometry-optimized Y2ZnMo structure. Source: Alexandria via LeMat-Bulk, functional GGA-PBE.

Cell and atoms, written as POSCAR:
```
Y2ZnMo
1.0
4.844 -1.648 0.000
4.844 1.648 0.000
-1.241 0.000 5.664
Y Zn Mo
2 1 1
direct
0.249 0.249 0.253
0.751 0.751 0.747
0.500 0.500 0.000
0.000 0.000 0.500
```

Values from the calculation:
ΔE_f: 0.383 eV per atom
Total magnetization: 0.00 μB per cell
Total energy: -5.875 eV/atom

---

Entry 2:
A geometry-optimized MgSc structure. Source: Alexandria via LeMat-Bulk, functional GGA-PBE.

Cell and atoms, written as POSCAR:
```
MgSc
1.0
5.621 0.000 0.000
0.000 6.427 0.000
0.000 0.000 10.467
Mg Sc
8 8
direct
0.002 0.138 0.252
0.176 0.876 0.003
0.324 0.124 0.503
0.498 0.862 0.752
0.502 0.362 0.748
0.676 0.624 0.997
0.824 0.376 0.497
0.998 0.638 0.248
0.006 0.107 0.759
0.175 0.373 0.999
0.325 0.627 0.499
0.494 0.893 0.259
0.506 0.393 0.241
0.675 0.127 0.001
0.825 0.873 0.501
0.994 0.607 0.741
```

Values from the calculation:
ΔE_f: 0.010 eV per atom
Total magnetization: 0.00 μB per cell
Total energy: -3.953 eV/atom

---

Entry 3:
A geometry-optimized Ni9GeAs2 structure. Source: Alexandria via LeMat-Bulk, functional GGA-PBE.

Cell and atoms, written as POSCAR:
```
Ni9GeAs2
1.0
3.588 0.000 0.000
0.000 3.588 0.000
0.000 0.000 10.749
Ni Ge As
9 1 2
direct
0.000 0.000 0.000
0.000 0.000 0.334
0.000 0.000 0.666
0.000 0.500 0.166
0.000 0.500 0.500
0.000 0.500 0.834
0.500 0.000 0.166
0.500 0.000 0.500
0.500 0.000 0.834
0.500 0.500 0.000
0.500 0.500 0.332
0.500 0.500 0.668
```

Values from the calculation:
ΔE_f: -0.201 eV per atom
Total magnetization: 0.00 μB per cell
Total energy: -5.696 eV/atom

---

Entry 4:
A geometry-optimized CaTaAg2 structure. Source: Alexandria via LeMat-Bulk, functional GGA-PBE.

Cell and atoms, written as POSCAR:
```
CaTaAg2
1.0
-1.484 2.571 5.418
1.484 -2.571 5.418
1.484 2.571 -5.418
Ca Ta Ag
1 1 2
direct
0.000 0.000 0.000
0.283 0.783 0.500
0.514 0.514 0.000
0.738 0.238 0.500
```

Values from the calculation:
Distance to the lowest polymorph of the same formula: 0.124 eV/atom
ΔE_f: 0.387 eV per atom
Total magnetization: 0.00 μB per cell
Total energy: -4.502 eV/atom

---

Entry 5:
A geometry-optimized AlV2Ru3 structure. Source: Alexandria via LeMat-Bulk, functional GGA-PBE.

Cell and atoms, written as POSCAR:
```
AlV2Ru3
1.0
2.996 0.000 0.000
0.000 2.996 0.000
0.000 0.000 9.063
Al V Ru
1 2 3
direct
0.000 0.000 0.000
0.000 0.000 0.331
0.000 0.000 0.669
0.500 0.500 0.170
0.500 0.500 0.500
0.500 0.500 0.830
```

Values from the calculation:
ΔE_f: -0.501 eV per atom
Total magnetization: 0.00 μB per cell
Total energy: -8.802 eV/atom

---

Entry 6:
A geometry-optimized Na2NdReN4 structure. Source: Alexandria via LeMat-Bulk, functional GGA-PBE.

Cell and atoms, written as POSCAR:
```
Na2NdReN4
1.0
-3.084 3.084 3.205
3.084 -3.084 3.205
3.084 3.084 -3.205
Na Nd Re N
2 1 1 4
direct
0.250 0.750 0.500
0.750 0.250 0.500
0.000 0.000 0.000
0.500 0.500 0.000
0.158 0.490 0.000
0.490 0.158 0.000
0.510 0.510 0.668
0.842 0.842 0.332
```

Values from the calculation:
Uncorrected formation energy: -0.502 eV/atom
Total magnetization: 0.00 μB per cell
Total energy: -7.147 eV/atom

---

Entry 7:
A geometry-optimized KVCd structure. Source: Alexandria via LeMat-Bulk, functional GGA-PBE.

Cell and atoms, written as POSCAR:
```
KVCd
1.0
11.727 0.000 0.000
0.000 3.019 0.000
0.000 0.000 9.731
K V Cd
4 4 4
direct
0.172 0.250 0.091
0.328 0.750 0.591
0.672 0.250 0.409
0.828 0.750 0.909
0.050 0.250 0.439
0.450 0.750 0.939
0.550 0.250 0.061
0.950 0.750 0.561
0.084 0.250 0.749
0.416 0.750 0.249
0.584 0.250 0.751
0.916 0.750 0.251
```

Values from the calculation:
Distance to the lowest polymorph of the same formula: 0.243 eV/atom
ΔE_f: 0.560 eV per atom
Total magnetization: 0.00 μB per cell
Total energy: -3.150 eV/atom

---

Entry 8:
A geometry-optimized Li2TcHPt structure. Source: Alexandria via LeMat-Bulk, functional GGA-PBE.

Cell and atoms, written as POSCAR:
```
Li2TcHPt
1.0
3.793 0.000 0.000
0.000 3.793 0.000
0.000 0.000 3.963
Li Tc H Pt
2 1 1 1
direct
0.000 0.500 0.000
0.500 0.000 0.000
0.000 0.000 0.500
0.000 0.000 0.000
0.500 0.500 0.500
```

Values from the calculation:
Total magnetization: 1.33 μB per cell
Total energy: -4.788 eV/atom

---

Entry 9:
A geometry-optimized TbCe2TmBi5 structure. Source: Alexandria via LeMat-Bulk, functional GGA-PBE.

Cell and atoms, written as POSCAR:
```
TbCe2TmBi5
1.0
5.482 0.000 0.000
0.000 5.482 0.000
0.000 0.000 11.788
Tb Ce Tm Bi
1 2 1 5
direct
0.000 0.000 0.000
0.500 0.500 0.215
0.500 0.500 0.785
0.000 0.000 0.500
0.000 0.000 0.255
0.000 0.000 0.745
0.000 0.500 0.000
0.500 0.000 0.000
0.500 0.500 0.500
```

Values from the calculation:
ΔE_f: -0.070 eV per atom
Total magnetization: 2.05 μB per cell
Total energy: -4.556 eV/atom

---

Entry 10:
A geometry-optimized Li2CuBiH structure. Source: Alexandria via LeMat-Bulk, functional GGA-PBE.

Cell and atoms, written as POSCAR:
```
Li2CuBiH
1.0
4.312 0.000 0.000
0.000 4.312 0.000
0.000 0.000 3.809
Li Cu Bi H
2 1 1 1
direct
0.000 0.500 0.000
0.500 0.000 0.000
0.000 0.000 0.500
0.500 0.500 0.500
0.000 0.000 0.000
```

Values from the calculation:
Total magnetization: 0.00 μB per cell
Total energy: -3.231 eV/atom

---

Entry 11:
A geometry-optimized RbTeC2Se structure. Source: Alexandria via LeMat-Bulk, functional GGA-PBE.

Cell and atoms, written as POSCAR:
```
RbTeC2Se
1.0
4.439 0.000 0.000
0.000 4.439 0.000
0.000 0.000 8.483
Rb Te C Se
1 1 2 1
direct
0.000 0.000 0.000
0.000 0.000 0.500
0.000 0.500 0.500
0.500 0.000 0.500
0.500 0.500 0.000
```

Values from the calculation:
Uncorrected formation energy: 1.994 eV/atom
Total magnetization: 2.94 μB per cell
Total energy: -3.214 eV/atom

---

Entry 12:
A geometry-optimized Tm4PCS2 structure. Source: Alexandria via LeMat-Bulk, functional GGA-PBE.

Cell and atoms, written as POSCAR:
```
Tm4PCS2
1.0
6.608 0.000 0.000
0.000 3.772 0.000
-2.164 0.000 6.283
Tm P C S
4 1 1 2
direct
0.223 0.000 0.219
0.236 0.500 0.771
0.764 0.500 0.229
0.777 0.000 0.781
0.500 0.000 0.000
0.000 0.500 0.000
0.000 0.000 0.500
0.500 0.500 0.500
```

Values from the calculation:
Uncorrected formation energy: -1.572 eV/atom
Total magnetization: 0.00 μB per cell
Total energy: -6.669 eV/atom

---

Entry 13:
A geometry-optimized CaZrP structure. Source: Alexandria via LeMat-Bulk, functional GGA-PBE.

Cell and atoms, written as POSCAR:
```
CaZrP
1.0
3.792 0.000 0.000
-1.896 3.284 0.000
0.000 0.000 6.184
Ca Zr P
1 1 1
direct
0.000 0.000 0.000
0.333 0.667 0.510
0.667 0.333 0.297
```

Values from the calculation:
ΔE_f: -0.679 eV per atom
Total magnetization: 0.00 μB per cell
Total energy: -5.999 eV/atom

---

Entry 14:
A geometry-optimized AgHg2PdRh structure. Source: Alexandria via LeMat-Bulk, functional GGA-PBE.

Cell and atoms, written as POSCAR:
```
AgHg2PdRh
1.0
5.104 0.000 0.000
0.000 5.104 0.000
0.000 0.000 4.995
Ag Hg Pd Rh
1 2 1 1
direct
0.000 0.000 0.000
0.000 0.500 0.000
0.500 0.000 0.000
0.500 0.500 0.500
0.000 0.000 0.500
```

Values from the calculation:
ΔE_f: 1.090 eV per atom
Total magnetization: 0.58 μB per cell
Total energy: -2.109 eV/atom

---

Entry 15:
A geometry-optimized Pb3W structure. Source: Alexandria via LeMat-Bulk, functional GGA-PBE.

Cell and atoms, written as POSCAR:
```
Pb3W
1.0
5.327 3.076 1.054
-5.327 3.076 1.054
0.000 -6.151 1.054
Pb W
3 1
direct
0.000 0.500 0.500
0.500 0.000 0.500
0.500 0.500 0.000
0.000 0.000 0.000
```

Values from the calculation:
Distance to the lowest polymorph of the same formula: 0.588 eV/atom
ΔE_f: 1.045 eV per atom
Total magnetization: 1.83 μB per cell
Total energy: -4.974 eV/atom

---

Entry 16:
A geometry-optimized CaBeAs2 structure. Source: Alexandria via LeMat-Bulk, functional GGA-PBE.

Cell and atoms, written as POSCAR:
```
CaBeAs2
1.0
0.000 3.399 3.399
3.399 0.000 3.399
3.399 3.399 0.000
Ca Be As
1 1 2
direct
0.000 0.000 0.000
0.250 0.250 0.250
0.500 0.500 0.500
0.750 0.750 0.750
```

Values from the calculation:
ΔE_f: 0.196 eV per atom
Total magnetization: 0.00 μB per cell
Total energy: -3.561 eV/atom

---

Entry 17:
A geometry-optimized Sr2Pa2Pt15 structure. Source: Alexandria via LeMat-Bulk, functional GGA-PBE.

Cell and atoms, written as POSCAR:
```
Sr2Pa2Pt15
1.0
4.715 2.722 4.680
-4.715 2.722 4.680
0.000 -5.445 4.680
Sr Pa Pt
2 2 15
direct
0.140 0.140 0.140
0.860 0.860 0.860
0.396 0.396 0.396
0.604 0.604 0.604
0.000 0.500 0.500
0.156 0.156 0.651
0.156 0.651 0.156
0.198 0.500 0.802
0.198 0.802 0.500
0.349 0.844 0.844
0.500 0.000 0.500
0.500 0.198 0.802
0.500 0.500 0.000
0.500 0.802 0.198
0.651 0.156 0.156
0.802 0.198 0.500
0.802 0.500 0.198
0.844 0.349 0.844
0.844 0.844 0.349
```

Values from the calculation:
ΔE_f: -0.615 eV per atom
Total magnetization: 0.45 μB per cell
Total energy: -6.560 eV/atom

---

Entry 18:
A geometry-optimized HoTlGa2Br6 structure. Source: Alexandria via LeMat-Bulk, functional GGA-PBE.

Cell and atoms, written as POSCAR:
```
HoTlGa2Br6
1.0
7.814 0.000 0.000
3.906 6.775 0.000
3.904 2.256 6.990
Ho Tl Ga Br
1 1 2 6
direct
0.000 0.000 0.000
0.489 0.489 0.532
0.192 0.191 0.425
0.683 0.683 0.951
0.067 0.375 0.743
0.242 0.910 0.210
0.376 0.815 0.742
0.638 0.241 0.211
0.814 0.067 0.743
0.911 0.638 0.210
```

Values from the calculation:
Uncorrected formation energy: -1.139 eV/atom
Total magnetization: 0.00 μB per cell
Total energy: -3.442 eV/atom

---

Entry 19:
A geometry-optimized NdMgInGa structure. Source: Alexandria via LeMat-Bulk, functional GGA-PBE.

Cell and atoms, written as POSCAR:
```
NdMgInGa
1.0
4.477 0.000 0.000
0.000 4.537 0.000
0.000 0.000 4.708
Nd Mg In Ga
1 1 1 1
direct
0.000 0.000 0.000
0.000 0.500 0.500
0.500 0.000 0.500
0.500 0.500 0.000
```

Values from the calculation:
Distance to the lowest polymorph of the same formula: 0.000 eV/atom
ΔE_f: -0.420 eV per atom
Total magnetization: 0.00 μB per cell
Total energy: -3.452 eV/atom

---

Entry 20:
A geometry-optimized CeSc2Rh structure. Source: Alexandria via LeMat-Bulk, functional GGA-PBE.

Cell and atoms, written as POSCAR:
```
CeSc2Rh
1.0
1.642 0.948 9.543
-1.642 0.948 9.543
0.000 -1.896 9.543
Ce Sc Rh
1 2 1
direct
0.000 0.000 0.000
0.564 0.564 0.564
0.766 0.766 0.766
0.165 0.165 0.165
```

Values from the calculation:
Distance to the lowest polymorph of the same formula: 0.195 eV/atom
ΔE_f: -0.273 eV per atom
Total magnetization: 0.64 μB per cell
Total energy: -6.760 eV/atom